Record 1
{"formula": "NaHg2Sb2", "functional": "PBE", "state": "relaxed", "crystal_system": "tetragonal", "total_magnetization_mub_per_atom": 0.000, "mass_density_g_cm3": 8.0, "sg": "P4/mbm, No. 127", "dos_ef_per_ev_atom": 0.445, "polymorph_energy_mev_per_atom": 39, "raw_formation_energy_ev_per_atom": 0.011, "lattice": [[8.551, 0.000, 0.000], [0.000, 8.551, 0.000], [0.000, 0.000, 3.786]], "species": ["Na", "Na", "Hg", "Hg", "Hg", "Hg", "Sb", "Sb", "Sb", "Sb"], "frac_coords": [[0.000, 0.000, 0.000], [0.500, 0.500, 0.000], [0.161, 0.339, 0.500], [0.339, 0.839, 0.500], [0.661, 0.161, 0.500], [0.839, 0.661, 0.500], [0.139, 0.639, 0.000], [0.361, 0.139, 0.000], [0.639, 0.861, 0.000], [0.861, 0.361, 0.000]]}


Record 2
{"formula": "NaHg3Sb", "functional": "PBE", "state": "relaxed", "crystal_system": "triclinic", "total_magnetization_mub_per_atom": 0.000, "mass_density_g_cm3": 8.9, "sg": "P-1, No. 2", "dos_ef_per_ev_atom": 0.293, "polymorph_energy_mev_per_atom": 0, "raw_formation_energy_ev_per_atom": -0.113, "lattice": [[5.435, 0.000, 0.000], [0.411, 7.011, 0.000], [2.653, 2.614, 7.321]], "species": ["Na", "Na", "Hg", "Hg", "Hg", "Hg", "Hg", "Hg", "Sb", "Sb"], "frac_coords": [[0.109, 0.476, 0.272], [0.891, 0.524, 0.728], [0.101, 0.942, 0.333], [0.274, 0.256, 0.963], [0.335, 0.750, 0.822], [0.665, 0.250, 0.178], [0.726, 0.744, 0.037], [0.899, 0.058, 0.667], [0.431, 0.281, 0.575], [0.569, 0.719, 0.425]]}


Record 3
{"formula": "Na3Hg4Sb2", "functional": "PBE", "state": "relaxed", "crystal_system": "monoclinic", "total_magnetization_mub_per_atom": 0.000, "mass_density_g_cm3": 7.7, "sg": "C2/m, No. 12", "dos_ef_per_ev_atom": 0.272, "polymorph_energy_mev_per_atom": 0, "raw_formation_energy_ev_per_atom": -0.252, "lattice": [[5.590, -2.479, 0.000], [5.590, 2.479, 0.000], [-4.385, 0.000, 8.685]], "species": ["Na", "Na", "Na", "Hg", "Hg", "Hg", "Hg", "Sb", "Sb"], "frac_coords": [[0.000, 0.000, 0.000], [0.339, 0.339, 0.327], [0.661, 0.661, 0.673], [0.087, 0.087, 0.426], [0.311, 0.311, 0.984], [0.689, 0.689, 0.016], [0.913, 0.913, 0.574], [0.386, 0.386, 0.725], [0.614, 0.614, 0.275]]}


Record 4
{"formula": "Na2HgSb3", "functional": "PBE", "state": "relaxed", "crystal_system": "orthorhombic", "total_magnetization_mub_per_atom": 0.000, "mass_density_g_cm3": 6.2, "sg": "Fmmm, No. 69", "dos_ef_per_ev_atom": 0.506, "raw_formation_energy_ev_per_atom": -0.144, "lattice": [[0.000, 5.319, 9.250], [3.330, 0.000, 9.250], [3.330, 5.319, 0.000]], "species": ["Na", "Na", "Na", "Na", "Hg", "Hg", "Sb", "Sb", "Sb", "Sb", "Sb", "Sb"], "frac_coords": [[0.250, 0.250, 0.250], [0.250, 0.750, 0.750], [0.750, 0.250, 0.250], [0.750, 0.750, 0.750], [0.168, 0.168, 0.832], [0.832, 0.832, 0.168], [0.170, 0.667, 0.333], [0.333, 0.830, 0.170], [0.334, 0.334, 0.666], [0.666, 0.666, 0.334], [0.667, 0.170, 0.830], [0.830, 0.333, 0.667]]}


Record 5
{"formula": "NaHg3Sb", "functional": "PBE", "state": "relaxed", "crystal_system": "cubic", "total_magnetization_mub_per_atom": 0.000, "mass_density_g_cm3": 6.6, "sg": "Pm-3m, No. 221", "dos_ef_per_ev_atom": 0.459, "polymorph_energy_mev_per_atom": 245, "raw_formation_energy_ev_per_atom": 0.133, "lattice": [[5.725, 0.000, 0.000], [0.000, 5.725, 0.000], [0.000, 0.000, 5.725]], "species": ["Na", "Hg", "Hg", "Hg", "Sb"], "frac_coords": [[0.000, 0.000, 0.000], [0.000, 0.500, 0.500], [0.500, 0.000, 0.500], [0.500, 0.500, 0.000], [0.500, 0.500, 0.500]]}


Record 6
{"formula": "Na4Hg3Sb", "functional": "PBE", "state": "relaxed", "crystal_system": "orthorhombic", "total_magnetization_mub_per_atom": 0.000, "mass_density_g_cm3": 6.1, "sg": "Pmm2, No. 25", "dos_ef_per_ev_atom": 0.408, "polymorph_energy_mev_per_atom": 0, "raw_formation_energy_ev_per_atom": -0.258, "lattice": [[3.565, 0.000, 0.000], [0.000, 5.101, 0.000], [0.000, 0.000, 12.141]], "species": ["Na", "Na", "Na", "Na", "Hg", "Hg", "Hg", "Sb"], "frac_coords": [[0.000, 0.000, 0.000], [0.000, 0.500, 0.303], [0.500, 0.000, 0.490], [0.500, 0.500, 0.810], [0.000, 0.000, 0.727], [0.000, 0.500, 0.578], [0.500, 0.500, 0.065], [0.500, 0.000, 0.227]]}


Record 7
{"formula": "NaHg4Sb", "functional": "PBE", "state": "relaxed", "crystal_system": "cubic", "total_magnetization_mub_per_atom": 0.000, "mass_density_g_cm3": 9.8, "sg": "F-43m, No. 216", "dos_ef_per_ev_atom": 0.701, "polymorph_energy_mev_per_atom": 120, "raw_formation_energy_ev_per_atom": 0.036, "lattice": [[0.000, 4.307, 4.307], [4.307, 0.000, 4.307], [4.307, 4.307, 0.000]], "species": ["Na", "Hg", "Hg", "Hg", "Hg", "Sb"], "frac_coords": [[0.000, 0.000, 0.000], [0.125, 0.625, 0.625], [0.625, 0.125, 0.625], [0.625, 0.625, 0.125], [0.625, 0.625, 0.625], [0.250, 0.250, 0.250]]}


Record 8
{"formula": "Na3HgSb4", "functional": "PBE", "state": "relaxed", "crystal_system": "orthorhombic", "total_magnetization_mub_per_atom": 0.000, "mass_density_g_cm3": 4.8, "sg": "Immm, No. 71", "dos_ef_per_ev_atom": 0.410, "raw_formation_energy_ev_per_atom": -0.117, "lattice": [[-2.260, 3.161, 9.136], [2.260, -3.161, 9.136], [2.260, 3.161, -9.136]], "species": ["Na", "Na", "Na", "Hg", "Sb", "Sb", "Sb", "Sb"], "frac_coords": [[0.000, 0.000, 0.000], [0.292, 0.792, 0.500], [0.708, 0.208, 0.500], [0.500, 0.500, 0.000], [0.095, 0.376, 0.720], [0.344, 0.624, 0.720], [0.656, 0.376, 0.280], [0.905, 0.624, 0.280]]}